(1)
Below is crystalline CsLi2In9 at its relaxed geometry, with properties calculated at the PBE level.

M_tot = 0.00 μB per formula unit
E_form = -103 meV/atom

Unit cell a=9.2696 b=9.2696 c=4.5163 alpha=90.00 beta=90.00 gamma=120.00
Last column: nearest neighbours and their distance in Å.
Space group P6/mmm (No. 191)
Inequivalent atoms, fractional coordinates:
1 Cs 0.0000 0.0000 0.0000 x1  12 In 4.08, 2 Cs 4.52
2 Li 0.3333 0.6667 0.0000 x2  9 In 2.68-2.99
3 In 0.0000 0.5000 0.0000 x3  2 Li 2.68
4 In 0.2116 0.4232 0.5000 x6  2 Li 2.99, 4 In 3.29

***

(2)
Below is crystalline CsLi2In at its relaxed geometry, with properties calculated at the PBE level.

M_tot = 0.00 μB per formula unit
E_form = 114 meV/atom

Unit cell a=5.8476 b=5.8476 c=19.6706 alpha=90.00 beta=90.00 gamma=90.00
Last column: nearest neighbours and their distance in Å.
Space group I-42d (No. 122)
Inequivalent atoms, fractional coordinates:
1 Cs 0.0000 0.0000 0.0000 x4  8 Li 4.08-4.10, 4 In 4.13
2 Li 0.0017 0.2500 0.6250 x8  2 In 2.86, 2 Li 2.92
3 In 0.0000 0.0000 0.5000 x4  4 Li 2.86

***

(3)
Below is crystalline CsLi3In at its relaxed geometry, with properties calculated at the PBE level.

M_tot = 0.00 μB per formula unit
E_form = 16 meV/atom
offset from the most stable computed form = 0 meV per atom

Unit cell a=5.5927 b=5.5927 c=5.5927 alpha=90.00 beta=90.00 gamma=90.00
Last column: nearest neighbours and their distance in Å.
Space group Pm-3m (No. 221)
Inequivalent atoms, fractional coordinates:
1 Cs 0.0000 0.0000 0.0000 x1  12 Li 3.95
2 Li 0.0000 0.5000 0.5000 x3  2 In 2.80
3 In 0.5000 0.5000 0.5000 x1  6 Li 2.80

***

(4)
Below is crystalline CsLiMg2In at its relaxed geometry, with properties calculated at the PBE level.

M_tot = 0.00 μB per formula unit
E_form = 189 meV/atom

Unit cell a=5.5411 b=5.5411 c=5.3633 alpha=90.00 beta=90.00 gamma=90.00
Last column: nearest neighbours and their distance in Å.
Space group P4/mmm (No. 123)
Inequivalent atoms, fractional coordinates:
1 Cs 0.0000 0.0000 0.0000 x1  8 Mg 3.86, 4 In 3.92
2 Li 0.5000 0.5000 0.5000 x1  2 In 2.68, 4 Mg 2.77
3 Mg 0.0000 0.5000 0.5000 x2  2 Li 2.77
4 In 0.5000 0.5000 0.0000 x1  2 Li 2.68

***

(5)
Below is crystalline CsLiIn2Ni at its relaxed geometry, with properties calculated at the PBE level.

M_tot = 0.00 μB per formula unit
E_form = -5 meV/atom

Unit cell a=5.0550 b=5.0550 c=5.6071 alpha=90.00 beta=90.00 gamma=90.00
Last column: nearest neighbours and their distance in Å.
Space group P4/mmm (No. 123)
Inequivalent atoms, fractional coordinates:
1 Cs 0.0000 0.0000 0.0000 x1  4 Li 3.57, 8 In 3.77
2 Li 0.5000 0.5000 0.0000 x1  2 Ni 2.80
3 In 0.0000 0.5000 0.5000 x2  2 Ni 2.53
4 Ni 0.5000 0.5000 0.5000 x1  4 In 2.53, 2 Li 2.80

***

(6)
Below is crystalline CsRb2LiIn at its relaxed geometry, with properties calculated at the PBE level.

M_tot = 0.00 μB per formula unit
E_form = 90 meV/atom

Unit cell a=7.2823 b=7.2823 c=5.8324 alpha=90.00 beta=90.00 gamma=90.00
Last column: nearest neighbours and their distance in Å.
Space group P4/mmm (No. 123)
Inequivalent atoms, fractional coordinates:
1 Cs 0.0000 0.0000 0.0000 x1  8 Rb 4.67, 4 Li 5.15
2 Rb 0.0000 0.5000 0.5000 x2  2 In 3.64
3 Li 0.5000 0.5000 0.0000 x1  2 In 2.92
4 In 0.5000 0.5000 0.5000 x1  2 Li 2.92

***

(7)
Below is crystalline Cs2RbLiIn at its relaxed geometry, with properties calculated at the PBE level.

M_tot = 0.00 μB per formula unit
E_form = 111 meV/atom

Unit cell a=7.6111 b=7.6111 c=5.7810 alpha=90.00 beta=90.00 gamma=90.00
Last column: nearest neighbours and their distance in Å.
Space group P4/mmm (No. 123)
Inequivalent atoms, fractional coordinates:
1 Cs 0.0000 0.5000 0.0000 x2  2 In 3.81
2 Rb 0.0000 0.0000 0.5000 x1  8 Cs 4.78
3 Li 0.5000 0.5000 0.5000 x1  2 In 2.89
4 In 0.5000 0.5000 0.0000 x1  2 Li 2.89

***

(8)
Below is crystalline CsLiIn2Rh at its relaxed geometry, with properties calculated at the PBE level.

M_tot = 0.00 μB per formula unit
E_form = -152 meV/atom

Unit cell a=5.2288 b=5.2288 c=5.4653 alpha=90.00 beta=90.00 gamma=90.00
Last column: nearest neighbours and their distance in Å.
Space group P4/mmm (No. 123)
Inequivalent atoms, fractional coordinates:
1 Cs 0.0000 0.0000 0.0000 x1  4 Li 3.70, 8 In 3.78
2 Li 0.5000 0.5000 0.0000 x1  2 Rh 2.73
3 In 0.0000 0.5000 0.5000 x2  2 Rh 2.61
4 Rh 0.5000 0.5000 0.5000 x1  4 In 2.61, 2 Li 2.73

***

(9)
Below is crystalline Cs2LiInSb2 at its relaxed geometry, with properties calculated at the PBE level.

raw formation energy = -501 meV per atom
M_tot = 0.00 μB per formula unit

Unit cell a=7.1253 b=17.7844 c=7.2092 alpha=90.00 beta=90.00 gamma=90.00
Last column: nearest neighbours and their distance in Å.
Space group Ibam (No. 72)
Inequivalent atoms, fractional coordinates:
1 Cs 0.2405 0.1703 0.0000 x8  5 Sb 3.84-4.27, 2 Li 3.92, 2 In 3.98
2 Li 0.0000 0.0000 0.2500 x4  4 Sb 3.04
3 In 0.0000 0.5000 0.2500 x4  4 Sb 2.95
4 Sb 0.2399 0.4103 0.0000 x8  2 In 2.95, 2 Li 3.04

***

(10)
Below is crystalline CsLiInSb2 at its relaxed geometry, with properties calculated at the PBE level.

raw formation energy = -355 meV per atom
M_tot = 0.00 μB per formula unit

Unit cell a=4.9885 b=4.9885 c=13.1551 alpha=90.00 beta=90.00 gamma=90.00
Last column: nearest neighbours and their distance in Å.
Space group I-4m2 (No. 119)
Inequivalent atoms, fractional coordinates:
1 Cs 0.0000 0.0000 0.0000 x2  8 Sb 3.89, 4 Li 4.13, 4 In 4.13
2 Li 0.0000 0.5000 0.7500 x2  4 Sb 2.98
3 In 0.0000 0.5000 0.2500 x2  4 Sb 2.98
4 Sb 0.0000 0.0000 0.3745 x4  2 In 2.98, 2 Li 2.98, 1 Sb 3.30

***

(11)
Below is crystalline CsLiInSe2 at its relaxed geometry, with properties calculated at the PBE level.

raw formation energy = -783 meV per atom
M_tot = 0.00 μB per formula unit

Unit cell a=6.8655 b=15.2451 c=6.5451 alpha=90.00 beta=90.00 gamma=90.00
Last column: nearest neighbours and their distance in Å.
Space group Cmme (No. 67)
Inequivalent atoms, fractional coordinates:
1 Cs 0.0000 0.2500 0.2481 x4  8 Se 3.82-4.03, 2 Li 4.15
2 Li 0.0000 0.0000 0.5000 x4  2 Se 2.42
3 In 0.2500 0.0000 0.0000 x4  4 Se 2.87
4 Se 0.0000 0.1114 0.7626 x8  1 Li 2.42

***

(12)
Below is crystalline Cs2LiIn2Se4 at its relaxed geometry, with properties calculated at the PBE level.

raw formation energy = -863 meV per atom
M_tot = 0.00 μB per formula unit

Unit cell a=14.7912 b=5.0124 c=8.0124 alpha=90.00 beta=104.33 gamma=90.00
Last column: nearest neighbours and their distance in Å.
Space group C2/m (No. 12)
Inequivalent atoms, fractional coordinates:
1 Cs 0.1334 0.0000 0.0756 x4  7 Se 3.75-3.84, 1 Cs 3.83, 1 In 3.98
2 Li 0.0000 0.0000 0.5000 x2  6 Se 2.86-3.13
3 In 0.1430 0.5000 0.5284 x4  4 Se 2.64-2.95
4 Se 0.0042 0.5000 0.7367 x4  2 In 2.64-2.95
5 Se 0.1964 0.0000 0.6508 x4  3 In 2.74-3.06, 1 Li 2.86

***

(13)
Below is crystalline Cs2LiTaIn at its relaxed geometry, with properties calculated at the PBE level.

M_tot = 4.48 μB per formula unit
E_form = 1408 meV/atom

Unit cell a=5.7074 b=5.7074 c=5.5138 alpha=90.00 beta=90.00 gamma=90.00
Last column: nearest neighbours and their distance in Å.
Space group P4/mmm (No. 123)
Inequivalent atoms, fractional coordinates:
1 Cs 0.0000 0.5000 0.0000 x2  2 Li 2.85
2 Li 0.0000 0.0000 0.0000 x1  2 In 2.76, 4 Cs 2.85
3 Ta 0.5000 0.5000 0.5000 x1  8 Cs 3.97, 4 In 4.04
4 In 0.0000 0.0000 0.5000 x1  2 Li 2.76

***

(14)
Below is crystalline CsLiIn2Te4 at its relaxed geometry, with properties calculated at the PBE level.

raw formation energy = -427 meV per atom
M_tot = 0.00 μB per formula unit

Unit cell a=7.1694 b=8.5875 c=10.2804 alpha=90.00 beta=90.00 gamma=90.00
Last column: nearest neighbours and their distance in Å.
Space group I222 (No. 23)
Inequivalent atoms, fractional coordinates:
1 Cs 0.0000 0.0000 0.0000 x2  8 Te 3.88-3.98
2 Li 0.0000 0.0000 0.5000 x2  4 Te 2.80
3 In 0.0000 0.5000 0.1947 x4  2 Te 2.71
4 Te 0.1976 0.1885 0.3261 x8  1 In 2.71, 1 Li 2.80

***

(15)
Below is crystalline CsMgIn2 at its relaxed geometry, with properties calculated at the PBE level.

M_tot = 0.00 μB per formula unit
E_form = -45 meV/atom

Unit cell a=3.7561 b=3.7561 c=9.2855 alpha=90.00 beta=90.00 gamma=90.00
Last column: nearest neighbours and their distance in Å.
Space group P4/mmm (No. 123)
Inequivalent atoms, fractional coordinates:
1 Cs 0.0000 0.0000 0.0000 x1  4 Cs 3.76, 8 In 3.99
2 Mg 0.0000 0.0000 0.5000 x1  8 In 3.14
3 In 0.5000 0.5000 0.3200 x2  4 Mg 3.14, 1 In 3.34

***

(16)
Below is crystalline CsMg2In2 at its relaxed geometry, with properties calculated at the PBE level.

M_tot = 0.00 μB per formula unit
E_form = 25 meV/atom
offset from the most stable computed form = 31 meV per atom

Unit cell a=9.7110 b=9.7110 c=3.2905 alpha=90.00 beta=90.00 gamma=90.00
Last column: nearest neighbours and their distance in Å.
Space group P4/mbm (No. 127)
Inequivalent atoms, fractional coordinates:
1 Cs 0.0000 0.0000 0.0000 x2  2 Cs 3.29
2 Mg 0.1380 0.3620 0.5000 x4  6 In 3.23-3.36, 2 Mg 3.29
3 In 0.1484 0.6484 0.0000 x4  6 Mg 3.23-3.36, 2 In 3.29

***

(17)
Below is crystalline Cs5MgIn6 at its relaxed geometry, with properties calculated at the PBE level.

M_tot = 0.00 μB per formula unit
E_form = -47 meV/atom

Unit cell a=8.3359 b=17.9857 c=9.1452 alpha=90.00 beta=115.71 gamma=90.00
Last column: nearest neighbours and their distance in Å.
Space group C2/m (No. 12)
Inequivalent atoms, fractional coordinates:
1 Cs 0.0000 0.0000 0.0000 x2  6 In 3.86-4.20
2 Cs 0.0000 0.2682 0.0000 x4  4 In 3.74-4.12
3 Cs 0.0000 0.3556 0.5000 x4  8 In 4.18-4.55
4 Mg 0.0000 0.0000 0.5000 x2  6 In 2.89-3.10
5 In 0.1019 0.1381 0.6792 x8  1 Mg 2.89, 2 In 2.97-3.11
6 In 0.1557 0.5000 0.1771 x4  1 Mg 3.10, 3 In 3.11-3.15

***

(18)
Below is crystalline CsMg2In2 at its relaxed geometry, with properties calculated at the PBE level.

M_tot = 0.00 μB per formula unit
E_form = -3 meV/atom
offset from the most stable computed form = 4 meV per atom

Unit cell a=9.6164 b=9.6164 c=3.2893 alpha=90.00 beta=90.00 gamma=90.00
Last column: nearest neighbours and their distance in Å.
Space group P4/mbm (No. 127)
Inequivalent atoms, fractional coordinates:
1 Cs 0.0000 0.0000 0.0000 x2  2 Cs 3.29
2 Mg 0.1280 0.3720 0.0000 x4  6 In 3.19-3.38, 3 Mg 3.29-3.48
3 In 0.1548 0.6548 0.5000 x4  6 Mg 3.19-3.38, 2 In 3.29

***

(19)
Below is crystalline CsMg2In2 at its relaxed geometry, with properties calculated at the PBE level.

M_tot = 0.00 μB per formula unit
E_form = -6 meV/atom
offset from the most stable computed form = 0 meV per atom

Unit cell a=5.2567 b=5.2567 c=12.1369 alpha=90.00 beta=90.00 gamma=90.00
Last column: nearest neighbours and their distance in Å.
Space group I4/mmm (No. 139)
Inequivalent atoms, fractional coordinates:
1 Cs 0.0000 0.0000 0.0000 x2  8 In 4.00, 8 Mg 4.01
2 Mg 0.0000 0.5000 0.2500 x4  4 In 3.05
3 In 0.0000 0.0000 0.3772 x4  1 In 2.98, 4 Mg 3.05

***

(20)
Below is crystalline CsMg5In7 at its relaxed geometry, with properties calculated at the PBE level.

M_tot = 0.00 μB per formula unit
E_form = -60 meV/atom

Unit cell a=6.2338 b=10.6167 c=10.5027 alpha=90.00 beta=90.00 gamma=90.00
Last column: nearest neighbours and their distance in Å.
Space group Imm2 (No. 44)
Inequivalent atoms, fractional coordinates:
1 Cs 0.0000 0.0000 0.0000 x2  10 In 3.66-3.91, 10 Mg 3.98-4.08
2 Mg 0.0000 0.5000 0.2642 x2  4 Mg 3.11, 6 In 3.18-3.33
3 Mg 0.2488 0.2523 0.7464 x8  7 In 3.04-3.27, 3 Mg 3.10-3.13
4 In 0.0000 0.0000 0.3527 x2  5 In 3.14-3.40, 4 Mg 3.26
5 In 0.0000 0.0000 0.6518 x2  3 In 3.14-3.43, 6 Mg 3.25-3.33
6 In 0.0000 0.2814 0.4921 x4  5 Mg 3.04-3.33, 2 In 3.33-3.37
7 In 0.0000 0.3510 0.0017 x4  4 In 3.16-3.42, 5 Mg 3.18-3.27
8 In 0.0000 0.5000 0.7242 x2  4 Mg 3.06, 6 In 3.32-3.40